# 1
BRhIO2 | PBE | optimized geometry

a = 3.4284 Å, b = 3.4284 Å, c = 7.5489 Å
α = 90.00°, β = 90.00°, γ = 90.00°
Last column: nearest neighbours and their distance in Å.
Sites, in units of the cell vectors:
B 0.0000 0.0000 0.0000  4 O 1.71
Rh 0.5000 0.5000 0.5000  4 I 2.42
I 0.0000 0.0000 0.5000  4 Rh 2.42
O 0.0000 0.5000 0.0000  2 B 1.71
O 0.5000 0.0000 0.0000  2 B 1.71

The value obtained for the total magnetic moment is 0.00 Bohr magnetons per cell. The calculation puts the energy relative to the elements, uncorrected at 0.420 eV/atom. The value obtained for the density of states at the Fermi level is 0.693 states/eV/atom.

=====

# 2
TiAl4 | PBE | optimized geometry

a = 5.2821 Å, b = 5.2821 Å, c = 5.2821 Å
α = 122.90°, β = 122.90°, γ = 85.05°
Last column: nearest neighbours and their distance in Å.
Sites, in units of the cell vectors:
Ti 0.0000 0.0000 0.0000  2 Al 2.67
Al 0.2500 0.7500 0.5000  4 Al 2.63
Al 0.3434 0.3434 0.0000  5 Al 2.44-2.63, 1 Ti 2.67
Al 0.6566 0.6566 0.0000  5 Al 2.44-2.63, 1 Ti 2.67
Al 0.7500 0.2500 0.5000  4 Al 2.63

The value obtained for the energy relative to the elements is 41.5 kJ/mol of atoms. The value obtained for the total magnetic moment is 1.65 Bohr magnetons per cell. The value obtained for the density of states at the Fermi level is 1.110 states/eV/atom.

=====

# 3
TlCrGa2 | PBE | optimized geometry

a = 4.8921 Å, b = 4.8921 Å, c = 4.8921 Å
α = 60.00°, β = 60.00°, γ = 60.00°
Last column: nearest neighbours and their distance in Å.
Sites, in units of the cell vectors:
Tl 0.0000 0.0000 0.0000  8 Ga 3.00
Cr 0.5000 0.5000 0.5000  8 Ga 3.00
Ga 0.2500 0.2500 0.2500  4 Cr 3.00, 4 Tl 3.00
Ga 0.7500 0.7500 0.7500  4 Cr 3.00, 4 Tl 3.00

The value obtained for the energy relative to the elements is 39.4 kJ/mol of atoms. The value obtained for the total magnetic moment is 4.62 Bohr magnetons per cell. The value obtained for the density of states at the Fermi level is 0.717 states/eV/atom.

=====

# 4
Sc2TlFe | PBE | optimized geometry

a = 4.7310 Å, b = 4.7310 Å, c = 3.5577 Å
α = 90.00°, β = 90.00°, γ = 90.00°
Last column: nearest neighbours and their distance in Å.
Sites, in units of the cell vectors:
Sc 0.0000 0.5000 0.0000  4 Tl 2.96, 4 Fe 2.96
Sc 0.5000 0.0000 0.0000  4 Tl 2.96, 4 Fe 2.96
Tl 0.0000 0.0000 0.5000  8 Sc 2.96
Fe 0.5000 0.5000 0.5000  8 Sc 2.96

The value obtained for the energy relative to the elements is -5.1 kJ/mol of atoms. The value obtained for the total magnetic moment is 1.23 Bohr magnetons per cell. The value obtained for the density of states at the Fermi level is 1.523 states/eV/atom.

=====

# 5
BaPrHgAu | PBE | optimized geometry

a = 5.5862 Å, b = 5.5862 Å, c = 5.5862 Å
α = 60.00°, β = 60.00°, γ = 60.00°
Last column: nearest neighbours and their distance in Å.
Sites, in units of the cell vectors:
Ba 0.0000 0.0000 0.0000  4 Hg 3.42, 4 Au 3.42
Pr 0.5000 0.5000 0.5000  4 Hg 3.42, 4 Au 3.42
Hg 0.7500 0.7500 0.7500  4 Ba 3.42, 4 Pr 3.42
Au 0.2500 0.2500 0.2500  4 Ba 3.42, 4 Pr 3.42

The value obtained for the energy relative to the elements is -47.2 kJ/mol of atoms. The value obtained for the total magnetic moment is 0.00 Bohr magnetons per cell. The value obtained for the density of states at the Fermi level is 0.880 states/eV/atom.

=====

# 6
Ta2AgP | PBE | optimized geometry

a = 3.4144 Å, b = 3.5012 Å, c = 5.9522 Å
α = 90.00°, β = 105.65°, γ = 90.00°
Last column: nearest neighbours and their distance in Å.
Sites, in units of the cell vectors:
Ta 0.0000 0.0000 0.0000  1 P 2.52
Ta 0.3270 0.5000 0.7210  4 P 2.61-2.62, 2 Ta 2.84
Ag 0.6228 0.5000 0.2556  2 P 2.47
P 0.7528 0.0000 0.5605  2 Ag 2.47, 5 Ta 2.52-2.62

The value obtained for the energy relative to the elements is -2.6 kJ/mol of atoms. The value obtained for the total magnetic moment is 0.00 Bohr magnetons per cell. The value obtained for the density of states at the Fermi level is 0.254 states/eV/atom.

=====

# 7
Pa2TcBi | PBE | optimized geometry

a = 4.4555 Å, b = 4.4555 Å, c = 4.5464 Å
α = 90.00°, β = 90.00°, γ = 90.00°
Last column: nearest neighbours and their distance in Å.
Sites, in units of the cell vectors:
Pa 0.0000 0.5000 0.0000  4 Pa 3.15, 4 Bi 3.18, 4 Tc 3.18
Pa 0.5000 0.0000 0.0000  4 Pa 3.15, 4 Bi 3.18, 4 Tc 3.18
Tc 0.0000 0.0000 0.5000  4 Bi 3.15, 8 Pa 3.18
Bi 0.5000 0.5000 0.5000  4 Tc 3.15, 8 Pa 3.18

The value obtained for the energy relative to the elements is 2.6 kJ/mol of atoms. The value obtained for the total magnetic moment is 0.00 Bohr magnetons per cell. The value obtained for the density of states at the Fermi level is 1.738 states/eV/atom.

=====

# 8
Nd2SmY7 | PBE | optimized geometry

a = 9.4237 Å, b = 9.4237 Å, c = 5.4751 Å
α = 90.00°, β = 90.00°, γ = 124.85°
Last column: nearest neighbours and their distance in Å.
Sites, in units of the cell vectors:
Nd 0.2026 0.7974 0.0000  7 Y 3.10-3.47
Nd 0.7974 0.2026 0.0000  7 Y 3.10-3.47
Sm 0.5000 0.5000 0.5000  10 Y 3.52-3.66
Y 0.0000 0.0000 0.0000  4 Y 3.38, 2 Nd 3.38
Y 0.2104 0.4340 0.0000  2 Y 3.10-3.38, 2 Nd 3.19-3.47
Y 0.2891 0.7109 0.5000  2 Nd 3.10
Y 0.4340 0.2104 0.0000  2 Y 3.10-3.38, 2 Nd 3.19-3.47
Y 0.5660 0.7896 0.0000  2 Y 3.10-3.38, 2 Nd 3.19-3.47
Y 0.7109 0.2891 0.5000  2 Nd 3.10
Y 0.7896 0.5660 0.0000  2 Y 3.10-3.38, 2 Nd 3.19-3.47

The value obtained for the energy relative to the elements is 66.2 kJ/mol of atoms. The value obtained for the total magnetic moment is 0.00 Bohr magnetons per cell. The value obtained for the density of states at the Fermi level is 1.553 states/eV/atom.

=====

# 9
In5Hg4 | PBE | optimized geometry

a = 8.0790 Å, b = 8.0790 Å, c = 8.0790 Å
α = 93.36°, β = 93.36°, γ = 152.00°
Last column: nearest neighbours and their distance in Å.
Sites, in units of the cell vectors:
In 0.0000 0.0000 0.0000  8 In 3.25
In 0.3344 0.3344 0.6687  4 In 3.25-3.29, 4 Hg 3.27
In 0.3344 0.6656 0.0000  4 In 3.25-3.29, 4 Hg 3.27
In 0.6656 0.3344 0.0000  4 In 3.25-3.29, 4 Hg 3.27
In 0.6656 0.6656 0.3313  4 In 3.25-3.29, 4 Hg 3.27
Hg 0.0000 0.3341 0.3341  4 Hg 3.25, 4 In 3.27
Hg 0.0000 0.6659 0.6659  4 Hg 3.25, 4 In 3.27
Hg 0.3341 0.0000 0.3341  4 Hg 3.25, 4 In 3.27
Hg 0.6659 0.0000 0.6659  4 Hg 3.25, 4 In 3.27

The value obtained for the energy relative to the elements is 2.6 kJ/mol of atoms. The value obtained for the total magnetic moment is 0.00 Bohr magnetons per cell. The value obtained for the density of states at the Fermi level is 0.455 states/eV/atom.

=====

# 10
TlTc2Sb2 | PBE | optimized geometry

a = 5.8269 Å, b = 5.8269 Å, c = 5.8269 Å
α = 128.39°, β = 128.39°, γ = 75.99°
Last column: nearest neighbours and their distance in Å.
Sites, in units of the cell vectors:
Tl 0.0000 0.0000 0.0000  8 Sb 3.42, 10 Tc 3.50-3.75
Tc 0.3806 0.3806 0.0000  1 Tc 2.19
Tc 0.6194 0.6194 0.0000  1 Tc 2.19
Sb 0.2500 0.7500 0.5000  4 Tc 2.81
Sb 0.7500 0.2500 0.5000  4 Tc 2.81

The value obtained for the total magnetic moment is 0.58 Bohr magnetons per cell. The calculation puts the energy relative to the elements, uncorrected at 0.377 eV/atom. The value obtained for the density of states at the Fermi level is 0.738 states/eV/atom.

=====

Question: The highest density of states at the Fermi level belongs to which entry?
Answer: Pa2TcBi